5
Lattice="6.744 0.000 0.000 0.000 6.744 0.000 0.000 0.000 6.744" Properties=species:S:1:pos:R:3 comment="PBE-GGA K3ScSn, relaxed" relative_energy_mev_per_atom=0.0 formation_energy_mev_per_atom=707 pbc="T T T"
Sc 3.372 3.372 3.372
K 0.000 3.372 0.000
K 0.000 0.000 3.372
K 3.372 0.000 0.000
Sn 0.000 0.000 0.000